DFT (PBE) results for a geometry-optimized Sm12Ho7Sc structure.

a = 11.436 Å, b = 11.436 Å, c = 11.436 Å
α = 116.88°, β = 116.88°, γ = 116.88°
Sites, in units of the cell vectors:
Sm (0.000, 0.414, 0.586)
Sm (0.000, 0.586, 0.414)
Sm (0.081, 0.081, 0.433)
Sm (0.081, 0.433, 0.081)
Sm (0.414, 0.000, 0.586)
Sm (0.414, 0.586, 0.000)
Sm (0.433, 0.081, 0.081)
Sm (0.567, 0.919, 0.919)
Sm (0.586, 0.000, 0.414)
Sm (0.586, 0.414, 0.000)
Sm (0.919, 0.567, 0.919)
Sm (0.919, 0.919, 0.567)
Ho (0.000, 0.000, 0.000)
Ho (0.140, 0.380, 0.380)
Ho (0.380, 0.140, 0.380)
Ho (0.380, 0.380, 0.140)
Ho (0.620, 0.620, 0.860)
Ho (0.620, 0.860, 0.620)
Ho (0.860, 0.620, 0.620)
Sc (0.500, 0.500, 0.500)

Summary:
Spin magnetization in μB per formula unit: 0.00
Energy of formation from the pure elements in eV/atom: 0.217
Fermi-level density of states in states/eV per atom: 1.399
Distance to the lowest polymorph of the same formula in meV per atom: 51.6